No. 1
# Ta4TlAs GGA-PBE relaxed
# VASP energy (eV per cell): -203.72
data_Ta4TlAs
_chemical_formula_sum 'Ta16 Tl4 As4'
_cell_length_a 7.864
_cell_length_b 7.864
_cell_length_c 7.864
_cell_angle_alpha 90.00
_cell_angle_beta 90.00
_cell_angle_gamma 90.00
_symmetry_space_group_name_H-M 'F -4 3 m'
_symmetry_Int_Tables_number 216
_symmetry_space_group_name_Hall 'F -4 2 3'
loop_
_atom_site_label
_atom_site_fract_x
_atom_site_fract_y
_atom_site_fract_z
_atom_site_occupancy
Ta1 0.124 0.124 0.124 1
Tl1 0.250 0.250 0.750 1
As1 0.000 0.000 0.500 1

No. 2
# NpU2Tc GGA-PBE relaxed
# E above lowest polymorph (eV/f.u.): 0.56
# VASP energy (eV per cell): -45.40
data_NpU2Tc
_chemical_formula_sum 'Np1 U2 Tc1'
_cell_length_a 3.330
_cell_length_b 3.330
_cell_length_c 6.685
_cell_angle_alpha 90.00
_cell_angle_beta 90.00
_cell_angle_gamma 90.00
_symmetry_space_group_name_H-M 'P 4/m m m'
_symmetry_Int_Tables_number 123
_symmetry_space_group_name_Hall '-P 4 2'
loop_
_atom_site_label
_atom_site_fract_x
_atom_site_fract_y
_atom_site_fract_z
_atom_site_occupancy
Np1 0.000 0.000 0.000 1
U1 0.500 0.500 0.236 1
Tc1 0.000 0.000 0.500 1

No. 3
# SnHg2Mo GGA-PBE relaxed
# VASP energy (eV per cell): -51.17
data_SnHg2Mo
_chemical_formula_sum 'Sn4 Hg8 Mo4'
_cell_length_a 8.050
_cell_length_b 8.050
_cell_length_c 5.631
_cell_angle_alpha 90.00
_cell_angle_beta 90.00
_cell_angle_gamma 90.00
_symmetry_space_group_name_H-M 'I -4 2 d'
_symmetry_Int_Tables_number 122
_symmetry_space_group_name_Hall 'I -4 2bw'
loop_
_atom_site_label
_atom_site_fract_x
_atom_site_fract_y
_atom_site_fract_z
_atom_site_occupancy
Sn1 0.000 0.000 0.000 1
Hg1 0.225 0.250 0.625 1
Mo1 0.000 0.000 0.500 1

No. 4
# MnGaW3 GGA-PBE relaxed
# VASP energy (eV per cell): -44.40
data_MnGaW3
_chemical_formula_sum 'Mn1 Ga1 W3'
_cell_length_a 4.479
_cell_length_b 4.479
_cell_length_c 4.479
_cell_angle_alpha 90.00
_cell_angle_beta 90.00
_cell_angle_gamma 90.00
_symmetry_space_group_name_H-M 'P m -3 m'
_symmetry_Int_Tables_number 221
_symmetry_space_group_name_Hall '-P 4 2 3'
loop_
_atom_site_label
_atom_site_fract_x
_atom_site_fract_y
_atom_site_fract_z
_atom_site_occupancy
Mn1 0.000 0.000 0.000 1
Ga1 0.500 0.500 0.500 1
W1 0.000 0.000 0.500 1

No. 5
# LiEuGdMn GGA-PBE relaxed
# VASP energy (eV per cell): -138.06
data_LiEuGdMn
_chemical_formula_sum 'Li4 Eu4 Gd4 Mn4'
_cell_length_a 7.361
_cell_length_b 7.361
_cell_length_c 7.361
_cell_angle_alpha 90.00
_cell_angle_beta 90.00
_cell_angle_gamma 90.00
_symmetry_space_group_name_H-M 'F -4 3 m'
_symmetry_Int_Tables_number 216
_symmetry_space_group_name_Hall 'F -4 2 3'
loop_
_atom_site_label
_atom_site_fract_x
_atom_site_fract_y
_atom_site_fract_z
_atom_site_occupancy
Li1 0.000 0.000 0.000 1
Eu1 0.250 0.250 0.750 1
Gd1 0.250 0.250 0.250 1
Mn1 0.000 0.000 0.500 1

No. 6
# Rb2CuBiBr6 GGA-PBE relaxed
# Formation energy without anion corrections (eV per atom): -1.037
# VASP energy (eV per cell): -121.27
data_Rb2CuBiBr6
_chemical_formula_sum 'Rb8 Cu4 Bi4 Br24'
_cell_length_a 11.088
_cell_length_b 11.088
_cell_length_c 11.088
_cell_angle_alpha 90.00
_cell_angle_beta 90.00
_cell_angle_gamma 90.00
_symmetry_space_group_name_H-M 'F m -3 m'
_symmetry_Int_Tables_number 225
_symmetry_space_group_name_Hall '-F 4 2 3'
loop_
_atom_site_label
_atom_site_fract_x
_atom_site_fract_y
_atom_site_fract_z
_atom_site_occupancy
Rb1 0.250 0.250 0.250 1
Cu1 0.000 0.000 0.000 1
Bi1 0.000 0.000 0.500 1
Br1 0.000 0.000 0.240 1